First-principles (GGA-PBEsol) data for a relaxed CuSb3H crystal, as listed in Alexandria via LeMat-Bulk.

## Properties
SG = No. 221
E_tot = -3.690 eV/atom
M_tot = 0.00 μB/f.u.

Unit cell a=4.574 b=4.574 c=4.574 alpha=90.00 beta=90.00 gamma=90.00
Positions (direct):
Sb (0.500, 0.000, 0.000)
Sb (0.000, 0.500, 0.000)
Sb (0.000, 0.000, 0.500)
Cu (0.500, 0.500, 0.500)
H (0.000, 0.000, 0.000)